<A>
## ZnSi2Tc2 (GGA-PBE)

Data for a relaxed structure of ZnSi2Tc2.

For the spin magnetization, the calculation gives 0.000 μB per cell. As for the space group: P4/mbm (127).

abc: 6.771 6.771 3.023
angles: 90.00 90.00 90.00
Positions (direct):
Si1 0.864 0.636 0.000
Si2 0.364 0.864 0.000
Si3 0.136 0.364 0.000
Tc1 0.343 0.157 0.500
Tc2 0.157 0.657 0.500
Zn1 0.000 0.000 0.000
Tc3 0.843 0.343 0.500
Si4 0.636 0.136 0.000
Zn2 0.500 0.500 0.000
Tc4 0.657 0.843 0.500



<B>
## ZnSi2Tc2 (GGA-PBE)

Data for a relaxed structure of ZnSi2Tc2.

For the spin magnetization, the calculation gives 0.000 μB per cell. As for the space group: I4/mmm (139).

abc: 3.406 3.406 6.760
angles: 75.41 75.41 90.00
Positions (direct):
Tc1 0.392 0.392 0.215
Si1 0.250 0.750 0.500
Si2 0.750 0.250 0.500
Tc2 0.608 0.608 0.785
Zn1 0.000 0.000 0.000



On energetic grounds, <A> is preferred over the next structure by 94 meV per atom.



<A>
## Si3Te5 (GGA-PBE)

Data for a relaxed structure of Si3Te5.

For the spin magnetization, the calculation gives 0.000 μB per cell. As for the space group: P6_3/mcm (193).

abc: 7.914 7.914 7.536
angles: 90.00 90.00 120.00
Positions (direct):
Te1 0.235 0.235 0.750
Te2 0.000 0.765 0.750
Te3 0.667 0.333 0.000
Si1 0.579 0.000 0.250
Te4 0.765 0.765 0.250
Si2 0.000 0.421 0.750
Te5 0.000 0.235 0.250
Te6 0.765 0.000 0.750
Te7 0.333 0.667 0.000
Si3 0.421 0.421 0.250
Si4 0.000 0.579 0.250
Te8 0.667 0.333 0.500
Si5 0.421 0.000 0.750
Si6 0.579 0.579 0.750
Te9 0.235 0.000 0.250
Te10 0.333 0.667 0.500



<B>
## Si3Te5 (GGA-PBE)

Data for a relaxed structure of Si3Te5.

For the spin magnetization, the calculation gives 0.000 μB per cell. As for the space group: Cmmm (65).

abc: 6.416 6.416 5.232
angles: 90.00 90.00 107.41
Positions (direct):
Si1 0.703 0.297 0.500
Te1 0.000 0.000 0.000
Te2 0.500 0.000 0.000
Te3 0.000 0.500 0.000
Si2 0.500 0.500 0.000
Te4 0.727 0.727 0.500
Si3 0.297 0.703 0.500
Te5 0.273 0.273 0.500



<C>
## Si3Te5 (GGA-PBE)

Data for a relaxed structure of Si3Te5.

For the spin magnetization, the calculation gives 0.000 μB per cell. As for the space group: P4/mmm (123).

abc: 3.682 3.682 14.687
angles: 90.00 90.00 90.00
Positions (direct):
Si1 0.500 0.500 0.866
Si2 0.000 0.000 0.500
Te1 0.500 0.500 0.392
Te2 0.000 0.000 0.000
Te3 0.500 0.500 0.608
Si3 0.500 0.500 0.134
Te4 0.000 0.000 0.778
Te5 0.000 0.000 0.222



On energetic grounds, <A> is preferred over the next structure by 39 meV per atom.



<A>
## Si3Te2 (GGA-PBE)

Data for a relaxed structure of Si3Te2.

For the spin magnetization, the calculation gives 0.000 μB per cell. As for the space group: P-3m1 (164).

abc: 4.973 4.973 5.975
angles: 90.00 90.00 120.00
Positions (direct):
Si1 0.333 0.667 0.199
Te1 0.333 0.667 0.759
Te2 0.667 0.333 0.241
Si2 0.667 0.333 0.801
Si3 0.000 0.000 0.000



<B>
## Si3Te2 (GGA-PBE)

Data for a relaxed structure of Si3Te2.

For the spin magnetization, the calculation gives 0.000 μB per cell. As for the space group: Fdd2 (43).

abc: 8.662 7.201 6.627
angles: 77.44 54.24 48.31
Positions (direct):
Si1 0.197 0.303 0.303
Si2 0.045 0.114 0.633
Te1 0.400 0.696 0.255
Te2 0.554 0.850 0.600
Si3 0.136 0.205 0.042
Te3 0.650 0.255 0.696
Si4 0.947 0.053 0.053
Te4 0.995 0.600 0.850
Si5 0.208 0.633 0.114
Si6 0.617 0.042 0.205



On energetic grounds, <B> is preferred over the next structure by 422 meV per atom.



<A>
## Si4Te (GGA-PBE)

Data for a relaxed structure of Si4Te.

For the spin magnetization, the calculation gives 0.000 μB per cell. As for the space group: I4/m (87).

abc: 5.591 5.591 5.591
angles: 94.41 94.41 147.81
Positions (direct):
Si1 0.656 0.865 0.522
Te1 0.000 0.000 0.000
Si2 0.344 0.135 0.478
Si3 0.135 0.656 0.791
Si4 0.865 0.344 0.209



<B>
## Si4Te (GGA-PBE)

Data for a relaxed structure of Si4Te.

For the spin magnetization, the calculation gives 0.000 μB per cell. As for the space group: Pm-3m (221).

abc: 5.140 5.140 5.140
angles: 90.00 90.00 90.00
Positions (direct):
Si1 0.500 0.500 0.000
Te1 0.500 0.500 0.500
Si2 0.500 0.000 0.500
Si3 0.000 0.500 0.500
Si4 0.000 0.000 0.000



On energetic grounds, <A> is preferred over the next structure by 1133 meV per atom.